Compound: Zr3HgP
Source: OQMD
Functional: PBE-GGA
Structure: relaxed

a = 6.1393 Å, b = 6.1393 Å, c = 9.8892 Å
α = 90.00°, β = 90.00°, γ = 144.82°
Fractional positions:
1 Zr 0.0456 0.9544 0.7500
2 Zr 0.3590 0.6410 0.5532
3 Zr 0.3590 0.6410 0.9468
4 Zr 0.6410 0.3590 0.0532
5 Zr 0.6410 0.3590 0.4468
6 Zr 0.9544 0.0456 0.2500
7 Hg 0.2542 0.7458 0.2500
8 Hg 0.7458 0.2542 0.7500
9 P 0.0000 0.0000 0.0000
10 P 0.0000 0.0000 0.5000

Summary:
VASP energy ... -0.509 Ry/atom
Crystal system ... orthorhombic